Entry 1:
VASP calculation (PBE) on a geometry-optimized La3ZnN structure.

## Properties
Energy relative to the elements, uncorrected (eV/f.u.): -3.30
Polymorph energy (0 for the lowest one) (meV/atom): 35
Space-group type: Pm-3m (221)
Total moment (μB per cell): 0.0
Theoretical density (g cm⁻³): 6.3
E (eV/atom): -5.537

Cell and atoms, written as POSCAR:
```
La3ZnN
1.0
5.0802 0.0000 0.0000
0.0000 5.0802 0.0000
0.0000 0.0000 5.0802
La Zn N
3 1 1
direct
0.0000 0.0000 0.5000
0.0000 0.5000 0.0000
0.5000 0.0000 0.0000
0.5000 0.5000 0.5000
0.0000 0.0000 0.0000
```

Entry 2:
VASP calculation (PBE) on a geometry-optimized Zn2TcAg structure.

## Properties
Polymorph energy (0 for the lowest one) (meV/atom): 481
Space-group type: I-42d (122)
Total moment (μB per cell): 6.9
Theoretical density (g cm⁻³): 8.3
E (eV/atom): -3.395

Cell and atoms, written as POSCAR:
```
Zn2TcAg
1.0
6.9735 0.0000 0.0000
0.0000 6.9735 0.0000
0.0000 0.0000 5.5447
Zn Tc Ag
8 4 4
direct
0.2486 0.2500 0.1250
0.2500 0.7486 0.3750
0.2500 0.7514 0.8750
0.2514 0.2500 0.6250
0.7486 0.7500 0.6250
0.7500 0.2486 0.8750
0.7500 0.2514 0.3750
0.7514 0.7500 0.1250
0.0000 0.0000 0.0000
0.0000 0.5000 0.2500
0.5000 0.0000 0.7500
0.5000 0.5000 0.5000
0.0000 0.0000 0.5000
0.0000 0.5000 0.7500
0.5000 0.0000 0.2500
0.5000 0.5000 0.0000
```

Q: The lowest E belongs to which entry?
A: La3ZnN